No. 1
# SrCdGa2Ag PBE relaxed
data_SrCdGa2Ag
_cell_length_a 4.5705
_cell_length_b 4.5705
_cell_length_c 11.1040
_cell_angle_alpha 90.00
_cell_angle_beta 90.00
_cell_angle_gamma 90.00
_symmetry_space_group_name_H-M 'I -4 m 2'
_symmetry_Int_Tables_number 119
_symmetry_space_group_name_Hall 'I -4 -2'
loop_
_atom_site_label
_atom_site_type_symbol
_atom_site_fract_x
_atom_site_fract_y
_atom_site_fract_z
_atom_site_occupancy
Sr1 Sr 0.0000 0.0000 0.0000 1
Cd1 Cd 0.0000 0.5000 0.7500 1
Ga1 Ga 0.0000 0.0000 0.3855 1
Ag1 Ag 0.0000 0.5000 0.2500 1
# **Mass density**: 6.40 g cm⁻³
# **Raw total energy**: -13.1 eV/f.u.


No. 2
# YBe2Zn PBE relaxed
data_YBe2Zn
_cell_length_a 3.1919
_cell_length_b 3.9430
_cell_length_c 5.3617
_cell_angle_alpha 90.00
_cell_angle_beta 101.37
_cell_angle_gamma 90.00
_symmetry_space_group_name_H-M 'P 1 2/m 1'
_symmetry_Int_Tables_number 10
loop_
_symmetry_equiv_pos_as_xyz
'x,y,z'
'-x,-y,-z'
'-x,y,-z'
'x,-y,z'
loop_
_atom_site_label
_atom_site_type_symbol
_atom_site_fract_x
_atom_site_fract_y
_atom_site_fract_z
_atom_site_occupancy
Y1 Y 0.0000 0.0000 0.0000 1
Be1 Be 0.3412 0.5000 0.6712 1
Zn1 Zn 0.5000 0.0000 0.5000 1
# **Mass density**: 4.33 g cm⁻³
# **Raw total energy**: -14.4 eV/f.u.


Number 1: DFT formation energy -31.3 kJ per mole of atoms. Number 2: DFT formation energy 18.3 kJ per mole of atoms.